# 1
VASP calculation (PBE-GGA) on a relaxed structure of Hg2PbIO2.

Cell lengths 5.9130, 6.7349, 8.4504 Å; angles 114.64, 90.00, 90.00 degrees
Fractional coordinates of all 12 atoms:
Hg1 0.2500 0.1811 0.3837
Hg2 0.2500 0.5448 0.7035
Hg3 0.7500 0.8189 0.6163
Hg4 0.7500 0.4552 0.2965
Pb1 0.2500 0.1363 0.9422
Pb2 0.7500 0.8637 0.0578
I1 0.7500 0.2762 0.6331
I2 0.2500 0.7238 0.3669
O1 0.5022 0.1670 0.1693
O2 0.9978 0.1670 0.1693
O3 0.0022 0.8330 0.8307
O4 0.4978 0.8330 0.8307

Spin magnetization ... 0.000 μB per formula unit
Formation energy without anion corrections ... -423 meV/atom
Symmetry ... P2_1/m
E ... -3.053 eV per atom
Crystal system ... monoclinic

***

# 2
VASP calculation (PBE-GGA) on a relaxed structure of HgPbI2O.

Cell lengths 6.0060, 6.0060, 4.2237 Å; angles 90.00, 90.00, 90.00 degrees
Fractional coordinates of all 5 atoms:
Pb1 0.5000 0.5000 0.5000
I1 0.0000 0.5000 0.0000
I2 0.5000 0.0000 0.0000
Hg1 0.0000 0.0000 0.0000
O1 0.0000 0.0000 0.5000

Spin magnetization ... 0.000 μB per formula unit
Formation energy without anion corrections ... -13 meV/atom
Symmetry ... P4/mmm
E ... -2.426 eV per atom
Polymorph energy (0 for the lowest one) ... 153 meV per atom
Crystal system ... tetragonal

***

# 3
VASP calculation (PBE-GGA) on a relaxed structure of HgPbI2O.

Cell lengths 6.2435, 6.2435, 4.2289 Å; angles 90.00, 90.00, 90.00 degrees
Fractional coordinates of all 5 atoms:
Pb1 0.0000 0.0000 0.0000
I1 0.0000 0.5000 0.0000
I2 0.5000 0.0000 0.0000
Hg1 0.5000 0.5000 0.5000
O1 0.0000 0.0000 0.5000

Spin magnetization ... 0.000 μB per formula unit
Formation energy without anion corrections ... -165 meV/atom
Symmetry ... P4/mmm
E ... -2.579 eV per atom
Polymorph energy (0 for the lowest one) ... 0 meV per atom
Crystal system ... tetragonal

***

# 4
VASP calculation (PBE-GGA) on a relaxed structure of HgPbI2O8.

Cell lengths 5.4902, 5.4902, 8.1795 Å; angles 70.39, 70.39, 60.00 degrees
Each line ends with the local moment (μB).
Fractional coordinates of all 12 atoms:
Hg1 0.5000 0.5000 0.5000  0.00
Pb1 0.0000 0.0000 0.0000  0.02
I1 0.7576 0.7576 0.7273  0.10
I2 0.2424 0.2424 0.2727  0.10
O1 0.6776 0.6776 0.9672  0.00
O2 0.3224 0.3224 0.0328  0.00
O3 0.5900 0.2167 0.2958  0.23
O4 0.7833 0.4100 0.7042  0.23
O5 0.1025 0.7833 0.7042  0.23
O6 0.2167 0.8975 0.2958  0.23
O7 0.8975 0.5900 0.2958  0.23
O8 0.4100 0.1025 0.7042  0.23

Spin magnetization ... 1.960 μB per formula unit
Formation energy without anion corrections ... -186 meV/atom
Symmetry ... R32
E ... -4.084 eV per atom
Crystal system ... trigonal

***

# 5
VASP calculation (PBE-GGA) on a relaxed structure of HgPb2IO8.

Cell lengths 4.9922, 4.9916, 7.0923 Å; angles 90.00, 90.00, 91.34 degrees
Fractional coordinates of all 12 atoms:
Hg1 0.0000 0.0000 0.5000
Pb1 0.5000 0.5000 0.7493
Pb2 0.5000 0.5000 0.2507
I1 0.0000 0.0000 0.0000
O1 0.1822 0.8172 0.2003
O2 0.7156 0.7162 0.0000
O3 0.8178 0.1827 0.2003
O4 0.8178 0.1828 0.7997
O5 0.2844 0.2838 0.0000
O6 0.1822 0.8173 0.7997
O7 0.6917 0.6921 0.5000
O8 0.3083 0.3079 0.5000

Spin magnetization ... 0.000 μB per formula unit
Formation energy without anion corrections ... -509 meV/atom
Symmetry ... Cmmm
E ... -4.587 eV per atom
Crystal system ... orthorhombic

***

# 6
VASP calculation (PBE-GGA) on a relaxed structure of Hg2PbIO6.

Cell lengths 5.8963, 5.8992, 6.2761 Å; angles 61.96, 61.95, 59.97 degrees
Fractional coordinates of all 10 atoms:
Hg1 0.5794 0.5799 0.2609
Hg2 0.0530 0.0525 0.8422
Pb1 0.8161 0.8162 0.5516
I1 0.3162 0.3162 0.0515
O1 0.5357 0.2203 0.2706
O2 0.2192 0.9740 0.2711
O3 0.9734 0.5363 0.2702
O4 0.4131 0.6583 0.8318
O5 0.6590 0.0959 0.8329
O6 0.0965 0.4122 0.8324

Spin magnetization ... 0.000 μB per formula unit
Formation energy without anion corrections ... -400 meV/atom
Symmetry ... R-3
E ... -3.961 eV per atom
Crystal system ... trigonal

***

> Among the records above, which one has the lowest E?

HgPb2IO8

***

> Which of these has the highest formation energy without anion corrections?

number 2